Record 1
VASP calculation (PBE) on an optimized crystal structure of Na3PmU2S6.

a b c (Å): 6.942 12.026 7.130
angles (deg): 90.00 108.96 90.00
Space group C2/m (No. 12)
Inequivalent atoms, fractional coordinates:
Na 0.000 0.000 0.000 x2
Na 0.000 0.335 0.000 x4
Pm 0.000 0.500 0.500 x2
U 0.000 0.167 0.500 x4
S 0.236 0.000 0.732 x4
S 0.248 0.329 0.731 x8

Record 2
VASP calculation (PBE) on an optimized crystal structure of NaPm2US4.

a b c (Å): 6.925 3.974 6.953
angles (deg): 90.00 109.11 90.00
Space group P2/m (No. 10)
Inequivalent atoms, fractional coordinates:
Na 0.000 0.000 0.000 x1
Pm 0.500 0.000 0.500 x1
Pm 0.500 0.500 0.000 x1
U 0.000 0.500 0.500 x1
S 0.242 0.000 0.745 x2
S 0.246 0.500 0.254 x2

Record 3
VASP calculation (PBE) on an optimized crystal structure of Na3Pm2US6.

a b c (Å): 7.042 12.196 7.104
angles (deg): 90.00 109.30 90.00
Space group C2/m (No. 12)
Inequivalent atoms, fractional coordinates:
Na 0.000 0.000 0.000 x2
Na 0.000 0.332 0.000 x4
Pm 0.000 0.167 0.500 x4
U 0.000 0.500 0.500 x2
S 0.241 0.337 0.732 x8
S 0.249 0.500 0.269 x4

no.,formation energy (no corrections) (kJ/mol of atoms),DFT total energy (eV/atom)
1,-143.8,-6.161
2,-164.4,-6.531
3,-157.6,-5.759